No. 1
Density functional theory data (PBE) for crystalline Sm2HfZn12Cu3 at its relaxed geometry.

Calculated volume, A^3/atom: 18.4
Formation enthalpy at 0 K, eV per atom: 0.034
N(E_F), states/eV per atom: 0.691
Spin magnetization, μB/cell: 0.00
Mass density, kg/m³: 7304
Total energy, eV per cell: -46.36

a = 10.186 Å, b = 10.186 Å, c = 10.186 Å
α = 36.26°, β = 36.26°, γ = 36.26°
Atoms (fractional coordinates):
Sm 0.642 0.642 0.642
Sm 0.358 0.358 0.358
Hf 0.000 0.000 0.000
Zn 0.319 0.319 0.721
Zn 0.877 0.877 0.449
Zn 0.449 0.877 0.877
Zn 0.721 0.319 0.319
Zn 0.877 0.449 0.877
Zn 0.319 0.721 0.319
Zn 0.681 0.681 0.279
Zn 0.123 0.123 0.551
Zn 0.551 0.123 0.123
Zn 0.279 0.681 0.681
Zn 0.123 0.551 0.123
Zn 0.681 0.279 0.681
Cu 0.500 0.000 0.000
Cu 0.000 0.500 0.000
Cu 0.000 0.000 0.500

=====

No. 2
Density functional theory data (PBE) for crystalline TbHo2Bi at its relaxed geometry.

Calculated volume, A^3/atom: 32.3
Formation enthalpy at 0 K, eV per atom: 0.026
Excess energy over the best structure of this formula in the dataset, eV/f.u.: 1.428
N(E_F), states/eV per atom: 1.000
Spin magnetization, μB/cell: 0.00
Mass density, kg/m³: 8959
Total energy, eV per cell: -17.56

a = 3.532 Å, b = 3.532 Å, c = 12.144 Å
α = 81.64°, β = 81.64°, γ = 60.00°
Atoms (fractional coordinates):
Tb 0.500 0.500 0.500
Bi 0.000 0.000 0.000
Ho 0.088 0.088 0.737
Ho 0.912 0.912 0.263

=====

No. 3
Density functional theory data (PBE) for crystalline BaU4Rh3S12 at its relaxed geometry.

Uncorrected formation energy, eV/atom: -1.02
Calculated volume, A^3/atom: 22.7
N(E_F), states/eV per atom: 1.211
Spin magnetization, μB/cell: 5.00
Mass density, kg/m³: 6519
Total energy, eV per cell: -138.96

a = 8.387 Å, b = 8.387 Å, c = 8.387 Å
α = 109.47°, β = 109.47°, γ = 109.47°
Site moments in Bohr magnetons follow the coordinates.
Atoms (fractional coordinates):
Ba 0.000 0.000 0.000  0.00
U 0.500 0.000 0.000  1.57
U 0.500 0.500 0.500  1.57
U 0.000 0.500 0.000  1.57
U 0.000 0.000 0.500  1.57
Rh 0.000 0.500 0.500  -0.22
Rh 0.500 0.500 0.000  -0.22
Rh 0.500 0.000 0.500  -0.22
S 0.315 0.840 0.156  -0.06
S 0.685 0.160 0.844  -0.06
S 0.685 0.840 0.525  -0.06
S 0.844 0.685 0.160  -0.06
S 0.840 0.156 0.315  -0.06
S 0.160 0.475 0.315  -0.06
S 0.475 0.315 0.160  -0.06
S 0.160 0.844 0.685  -0.06
S 0.315 0.160 0.475  -0.06
S 0.156 0.315 0.840  -0.06
S 0.840 0.525 0.685  -0.06
S 0.525 0.685 0.840  -0.06

=====

No. 4
Density functional theory data (PBE) for crystalline AlPdSe3 at its relaxed geometry.

Uncorrected formation energy, eV/atom: 0.39
Calculated volume, A^3/atom: 24.4
Excess energy over the best structure of this formula in the dataset, eV/f.u.: 0.311
N(E_F), states/eV per atom: 1.333
Spin magnetization, μB/cell: 0.00
Mass density, kg/m³: 5038
Total energy, eV per cell: -17.45

a = 4.960 Å, b = 4.960 Å, c = 4.960 Å
α = 90.00°, β = 90.00°, γ = 90.00°
Atoms (fractional coordinates):
Se 0.000 0.500 0.000
Se 0.000 0.000 0.500
Se 0.500 0.000 0.000
Pd 0.000 0.000 0.000
Al 0.500 0.500 0.500

=====

No. 5
Density functional theory data (PBE) for crystalline Ag6HgAu4 at its relaxed geometry.

Calculated volume, A^3/atom: 20.8
Formation enthalpy at 0 K, eV per atom: 0.129
Excess energy over the best structure of this formula in the dataset, eV/f.u.: 0.000
N(E_F), states/eV per atom: 0.308
Spin magnetization, μB/cell: 0.00
Mass density, kg/m³: 11876
Total energy, eV per cell: -29.10

a = 4.695 Å, b = 7.499 Å, c = 7.499 Å
α = 120.00°, β = 90.00°, γ = 90.00°
Atoms (fractional coordinates):
Ag 0.500 0.060 0.810
Ag 0.500 0.190 0.250
Ag 0.000 0.881 0.573
Ag 0.000 0.427 0.308
Ag 0.000 0.692 0.119
Ag 0.500 0.750 0.940
Hg 0.000 0.333 0.667
Au 0.500 0.623 0.530
Au 0.500 0.907 0.377
Au 0.000 0.000 0.000
Au 0.500 0.470 0.093

=====

No. 6
Density functional theory data (PBE) for crystalline TbErPd at its relaxed geometry.

Calculated volume, A^3/atom: 27.3
Formation enthalpy at 0 K, eV per atom: -0.483
Excess energy over the best structure of this formula in the dataset, eV/f.u.: 0.240
N(E_F), states/eV per atom: 1.073
Spin magnetization, μB/cell: 0.00
Mass density, kg/m³: 8767
Total energy, eV per cell: -15.83

a = 4.875 Å, b = 4.875 Å, c = 4.875 Å
α = 60.00°, β = 60.00°, γ = 60.00°
Atoms (fractional coordinates):
Tb 0.000 0.000 0.000
Pd 0.250 0.250 0.250
Er 0.500 0.500 0.500

=====

No. 7
Density functional theory data (PBE) for crystalline TiTeS2Cl at its relaxed geometry.

Uncorrected formation energy, eV/atom: 0.55
Calculated volume, A^3/atom: 27.1
Excess energy over the best structure of this formula in the dataset, eV/f.u.: 4.721
N(E_F), states/eV per atom: 0.805
Spin magnetization, μB/cell: 0.18
Mass density, kg/m³: 3371
Total energy, eV per cell: -18.36

a = 5.178 Å, b = 5.178 Å, c = 5.052 Å
α = 90.00°, β = 90.00°, γ = 90.00°
Site moments in Bohr magnetons follow the coordinates.
Atoms (fractional coordinates):
Cl 0.000 0.000 0.500  0.00
S 0.000 0.500 0.000  0.00
S 0.500 0.000 0.000  0.00
Te 0.000 0.000 0.000  0.00
Ti 0.500 0.500 0.500  -0.16

=====

No. 8
Density functional theory data (PBE) for crystalline Sm2PuTe4 at its relaxed geometry.

Uncorrected formation energy, eV/atom: -1.28
Calculated volume, A^3/atom: 34.4
Excess energy over the best structure of this formula in the dataset, eV/f.u.: 0.257
N(E_F), states/eV per atom: 2.599
Spin magnetization, μB/cell: 11.36
Mass density, kg/m³: 7281
Total energy, eV per cell: -90.61

a = 4.370 Å, b = 7.595 Å, c = 15.141 Å
α = 90.00°, β = 90.00°, γ = 106.72°
Site moments in Bohr magnetons follow the coordinates.
Atoms (fractional coordinates):
Sm 0.134 0.268 0.432  0.02
Sm 0.866 0.732 0.932  0.02
Sm 0.134 0.268 0.068  0.02
Sm 0.866 0.732 0.568  0.02
Pu 0.620 0.240 0.750  5.51
Pu 0.380 0.760 0.250  5.51
Te 0.777 0.553 0.124  -0.03
Te 0.777 0.553 0.376  -0.03
Te 0.223 0.447 0.876  -0.03
Te 0.223 0.447 0.624  -0.03
Te 0.962 0.924 0.750  -0.04
Te 0.038 0.076 0.250  -0.04
Te 0.500 0.000 0.000  -0.01
Te 0.500 0.000 0.500  -0.01

=====

No. 9
Density functional theory data (PBE) for crystalline Zr3Mn2Co7 at its relaxed geometry.

Calculated volume, A^3/atom: 13.4
Formation enthalpy at 0 K, eV per atom: -0.238
N(E_F), states/eV per atom: 1.198
Spin magnetization, μB/cell: 7.83
Mass density, kg/m³: 8199
Total energy, eV per cell: -96.58

a = 4.891 Å, b = 4.891 Å, c = 8.278 Å
α = 72.82°, β = 72.82°, γ = 60.00°
Site moments in Bohr magnetons follow the coordinates.
Atoms (fractional coordinates):
Zr 0.000 0.000 0.000  -0.11
Zr 0.862 0.862 0.415  -0.18
Zr 0.138 0.138 0.585  -0.18
Mn 0.666 0.666 0.003  2.21
Mn 0.334 0.334 0.997  2.21
Co 0.500 0.500 0.500  1.16
Co 0.921 0.415 0.250  0.48
Co 0.415 0.921 0.250  0.48
Co 0.415 0.415 0.250  0.48
Co 0.079 0.585 0.750  0.48
Co 0.585 0.585 0.750  0.48
Co 0.585 0.079 0.750  0.48

=====

No. 10
Density functional theory data (PBE) for crystalline TiNbTeI2 at its relaxed geometry.

Uncorrected formation energy, eV/atom: 0.57
Calculated volume, A^3/atom: 35.1
Excess energy over the best structure of this formula in the dataset, eV/f.u.: 0.000
N(E_F), states/eV per atom: 1.267
Spin magnetization, μB/cell: 4.85
Mass density, kg/m³: 4941
Total energy, eV per cell: -21.37

a = 5.663 Å, b = 5.663 Å, c = 5.473 Å
α = 90.00°, β = 90.00°, γ = 90.00°
Site moments in Bohr magnetons follow the coordinates.
Atoms (fractional coordinates):
I 0.000 0.500 0.000  0.01
I 0.500 0.000 0.000  0.01
Nb 0.000 0.000 0.000  1.66
Te 0.000 0.000 0.500  -0.09
Ti 0.500 0.500 0.500  2.15

=====

No. 11
Density functional theory data (PBE) for crystalline BaAg2P at its relaxed geometry.

Calculated volume, A^3/atom: 24.5
Formation enthalpy at 0 K, eV per atom: -0.060
N(E_F), states/eV per atom: 0.462
Spin magnetization, μB/cell: 0.00
Mass density, kg/m³: 6499
Total energy, eV per cell: -13.28

a = 5.185 Å, b = 5.185 Å, c = 5.185 Å
α = 120.29°, β = 120.29°, γ = 89.50°
Atoms (fractional coordinates):
Ag 0.000 0.000 0.000
Ag 0.250 0.750 0.500
Ba 0.500 0.500 0.000
P 0.750 0.250 0.500

=====

No. 12
Density functional theory data (PBE) for crystalline CaReN3 at its relaxed geometry.

Uncorrected formation energy, eV/atom: 0.01
Calculated volume, A^3/atom: 13.9
N(E_F), states/eV per atom: 0.473
Spin magnetization, μB/cell: 0.81
Mass density, kg/m³: 6409
Total energy, eV per cell: -157.52

a = 7.326 Å, b = 7.326 Å, c = 7.326 Å
α = 60.00°, β = 60.00°, γ = 60.00°
Site moments in Bohr magnetons follow the coordinates.
Atoms (fractional coordinates):
Re 0.625 0.625 0.625  0.04
Re 0.125 0.625 0.625  0.06
Re 0.625 0.125 0.625  0.04
Re 0.625 0.625 0.125  0.04
Ca 0.125 0.125 0.125  0.07
Ca 0.625 0.125 0.125  0.04
Ca 0.125 0.625 0.125  0.06
Ca 0.125 0.125 0.625  0.07
N 0.307 0.693 0.307  -0.02
N 0.557 0.943 0.557  -0.02
N 0.557 0.557 0.943  -0.02
N 0.943 0.557 0.943  -0.02
N 0.557 0.943 0.943  -0.02
N 0.307 0.693 0.693  -0.02
N 0.943 0.557 0.557  -0.02
N 0.943 0.943 0.557  -0.03
N 0.693 0.307 0.307  -0.02
N 0.693 0.307 0.693  -0.02
N 0.307 0.307 0.693  -0.03
N 0.693 0.693 0.307  -0.02